1.
DFT (PBE) results for a relaxed structure of PmY6In.

Cell lengths 4.9337, 4.9337, 10.1359 Å; angles 90.00, 90.00, 90.00 degrees
Last column: nearest neighbours and their distance in Å.
Element x y z (fractional)
Pm: 0.0000 0.0000 0.5000  12 Y 3.49-3.60
Y: 0.5000 0.5000 0.0000  8 Y 3.48, 4 In 3.49
Y: 0.5000 0.5000 0.5000  4 Pm 3.49, 8 Y 3.60
Y: 0.5000 0.0000 0.2416  2 In 3.48, 8 Y 3.48-3.60, 2 Pm 3.60
Y: 0.5000 0.0000 0.7584  2 In 3.48, 8 Y 3.48-3.60, 2 Pm 3.60
Y: 0.0000 0.5000 0.2416  8 Y 3.48-3.60, 2 In 3.48, 2 Pm 3.60
Y: 0.0000 0.5000 0.7584  8 Y 3.48-3.60, 2 In 3.48, 2 Pm 3.60
In: 0.0000 0.0000 0.0000  12 Y 3.48-3.49

Computed properties:
DOS(E_F) (states/eV per cell): 9.8
Space-group type: P4/mmm
DFT total energy (eV per atom): -5.896


2.
DFT (PBE) results for a relaxed structure of PmY3In4.

Cell lengths 5.3574, 7.5488, 10.7194 Å; angles 90.00, 90.00, 90.00 degrees
Last column: nearest neighbours and their distance in Å.
Element x y z (fractional)
Y: 0.0000 0.0000 0.0000  8 In 3.26
Y: 0.0000 0.0000 0.5000  8 In 3.26
Y: 0.5006 0.0000 0.7500  8 In 3.26
Y: 0.4994 0.0000 0.2500  8 In 3.26
Y: 0.5005 0.5000 0.7500  8 In 3.30
Y: 0.4995 0.5000 0.2500  8 In 3.30
In: 0.5000 0.7546 0.0000  6 Y 3.26-3.30, 2 Pm 3.30
In: 0.5000 0.7546 0.5000  6 Y 3.26-3.30, 2 Pm 3.30
In: 0.5000 0.2454 0.0000  6 Y 3.26-3.30, 2 Pm 3.30
In: 0.5000 0.2454 0.5000  6 Y 3.26-3.30, 2 Pm 3.30
In: 0.0006 0.7545 0.7500  6 Y 3.26-3.30, 2 Pm 3.30
In: 0.9994 0.7545 0.2500  6 Y 3.26-3.30, 2 Pm 3.30
In: 0.9994 0.2455 0.2500  6 Y 3.26-3.30, 2 Pm 3.30
In: 0.0006 0.2455 0.7500  6 Y 3.26-3.30, 2 Pm 3.30
Pm: 0.0000 0.5000 0.0000  8 In 3.30
Pm: 0.0000 0.5000 0.5000  8 In 3.30

Computed properties:
DOS(E_F) (states/eV per cell): 6.9
Space-group type: P4/mmm
DFT total energy (eV per atom): -4.886


| no. | ΔE to the lowest computed polymorph (meV/atom) |
| --- | --- |
| 1 | 0 |
| 2 | 0 |